(1)
# TcGe2H, optimized geometry, DFT PBE
data_TcGe2H
_symmetry_space_group_name_H-M 'P 1'
_symmetry_Int_Tables_number 1
_cell_length_a 4.266
_cell_length_b 4.266
_cell_length_c 4.266
_cell_angle_alpha 60.00
_cell_angle_beta 60.00
_cell_angle_gamma 60.00
loop_
_symmetry_equiv_pos_as_xyz
'x,y,z'
loop_
_atom_site_label
_atom_site_type_symbol
_atom_site_fract_x
_atom_site_fract_y
_atom_site_fract_z
H1 H 0.000 0.000 0.000
Ge1 Ge 0.250 0.250 0.250
Ge2 Ge 0.750 0.750 0.750
Tc1 Tc 0.500 0.500 0.500
# offset from the most stable computed form = 0 meV per atom

***

(2)
# Tc2GeH, optimized geometry, DFT PBE
data_Tc2GeH
_symmetry_space_group_name_H-M 'P 1'
_symmetry_Int_Tables_number 1
_cell_length_a 4.135
_cell_length_b 4.135
_cell_length_c 4.135
_cell_angle_alpha 60.00
_cell_angle_beta 60.00
_cell_angle_gamma 60.00
loop_
_symmetry_equiv_pos_as_xyz
'x,y,z'
loop_
_atom_site_label
_atom_site_type_symbol
_atom_site_fract_x
_atom_site_fract_y
_atom_site_fract_z
H1 H 0.000 0.000 0.000
Ge1 Ge 0.500 0.500 0.500
Tc1 Tc 0.250 0.250 0.250
Tc2 Tc 0.750 0.750 0.750
# offset from the most stable computed form = 631 meV per atom

***

(3)
# Tc2GeH, optimized geometry, DFT PBE
data_Tc2GeH
_symmetry_space_group_name_H-M 'P 1'
_symmetry_Int_Tables_number 1
_cell_length_a 2.915
_cell_length_b 2.915
_cell_length_c 6.503
_cell_angle_alpha 77.05
_cell_angle_beta 77.05
_cell_angle_gamma 60.00
loop_
_symmetry_equiv_pos_as_xyz
'x,y,z'
loop_
_atom_site_label
_atom_site_type_symbol
_atom_site_fract_x
_atom_site_fract_y
_atom_site_fract_z
H1 H 0.500 0.500 0.500
Ge1 Ge 0.000 0.000 0.000
Tc1 Tc 0.225 0.225 0.325
Tc2 Tc 0.775 0.775 0.675
# offset from the most stable computed form = 47 meV per atom

***

(4)
# TcGeH, optimized geometry, DFT PBE
data_TcGeH
_symmetry_space_group_name_H-M 'P 1'
_symmetry_Int_Tables_number 1
_cell_length_a 3.131
_cell_length_b 4.469
_cell_length_c 4.748
_cell_angle_alpha 91.81
_cell_angle_beta 90.00
_cell_angle_gamma 90.00
loop_
_symmetry_equiv_pos_as_xyz
'x,y,z'
loop_
_atom_site_label
_atom_site_type_symbol
_atom_site_fract_x
_atom_site_fract_y
_atom_site_fract_z
Tc1 Tc 0.812 0.343 0.452
Tc2 Tc 0.312 0.815 0.721
Ge1 Ge 0.812 0.821 0.170
Ge2 Ge 0.312 0.337 0.003
H1 H 0.812 0.033 0.725
H2 H 0.312 0.124 0.449
# offset from the most stable computed form = 75 meV per atom

***

(5)
# TcGeH, optimized geometry, DFT PBE
data_TcGeH
_symmetry_space_group_name_H-M 'P 1'
_symmetry_Int_Tables_number 1
_cell_length_a 3.247
_cell_length_b 3.458
_cell_length_c 3.458
_cell_angle_alpha 120.00
_cell_angle_beta 90.00
_cell_angle_gamma 90.00
loop_
_symmetry_equiv_pos_as_xyz
'x,y,z'
loop_
_atom_site_label
_atom_site_type_symbol
_atom_site_fract_x
_atom_site_fract_y
_atom_site_fract_z
H1 H 0.166 0.000 0.000
Ge1 Ge 0.667 0.333 0.667
Tc1 Tc 0.167 0.667 0.333
# offset from the most stable computed form = 18 meV per atom

***

(6)
# Tc2GeH, optimized geometry, DFT PBE
data_Tc2GeH
_symmetry_space_group_name_H-M 'P 1'
_symmetry_Int_Tables_number 1
_cell_length_a 2.958
_cell_length_b 2.958
_cell_length_c 6.329
_cell_angle_alpha 76.49
_cell_angle_beta 76.49
_cell_angle_gamma 60.00
loop_
_symmetry_equiv_pos_as_xyz
'x,y,z'
loop_
_atom_site_label
_atom_site_type_symbol
_atom_site_fract_x
_atom_site_fract_y
_atom_site_fract_z
Tc1 Tc 0.061 0.061 0.818
Tc2 Tc 0.272 0.272 0.183
Ge1 Ge 0.499 0.499 0.504
H1 H 0.668 0.668 0.995
# offset from the most stable computed form = 0 meV per atom

***

(7)
# TcGeH, optimized geometry, DFT PBE
data_TcGeH
_symmetry_space_group_name_H-M 'P 1'
_symmetry_Int_Tables_number 1
_cell_length_a 3.400
_cell_length_b 3.400
_cell_length_c 5.055
_cell_angle_alpha 109.65
_cell_angle_beta 109.65
_cell_angle_gamma 90.00
loop_
_symmetry_equiv_pos_as_xyz
'x,y,z'
loop_
_atom_site_label
_atom_site_type_symbol
_atom_site_fract_x
_atom_site_fract_y
_atom_site_fract_z
H1 H 0.892 0.892 0.785
Ge1 Ge 0.247 0.247 0.494
Tc1 Tc 0.711 0.711 0.422
# offset from the most stable computed form = 446 meV per atom

***

(8)
# TcGe2H, optimized geometry, DFT PBE
data_TcGe2H
_symmetry_space_group_name_H-M 'P 1'
_symmetry_Int_Tables_number 1
_cell_length_a 4.711
_cell_length_b 4.711
_cell_length_c 6.358
_cell_angle_alpha 68.25
_cell_angle_beta 68.25
_cell_angle_gamma 90.00
loop_
_symmetry_equiv_pos_as_xyz
'x,y,z'
loop_
_atom_site_label
_atom_site_type_symbol
_atom_site_fract_x
_atom_site_fract_y
_atom_site_fract_z
H1 H 0.500 0.500 0.000
H2 H 0.250 0.750 0.500
Ge1 Ge 0.518 0.125 0.250
Ge2 Ge 0.232 0.625 0.250
Ge3 Ge 0.375 0.482 0.750
Ge4 Ge 0.875 0.768 0.750
Tc1 Tc 0.000 0.000 0.000
Tc2 Tc 0.750 0.250 0.500
# offset from the most stable computed form = 39 meV per atom

***

(9)
# Tc4Ge2H, optimized geometry, DFT PBE
data_Tc4Ge2H
_symmetry_space_group_name_H-M 'P 1'
_symmetry_Int_Tables_number 1
_cell_length_a 3.845
_cell_length_b 3.845
_cell_length_c 6.943
_cell_angle_alpha 73.92
_cell_angle_beta 73.92
_cell_angle_gamma 90.00
loop_
_symmetry_equiv_pos_as_xyz
'x,y,z'
loop_
_atom_site_label
_atom_site_type_symbol
_atom_site_fract_x
_atom_site_fract_y
_atom_site_fract_z
H1 H 0.000 0.000 0.000
Ge1 Ge 0.357 0.357 0.286
Ge2 Ge 0.643 0.643 0.714
Tc1 Tc 0.164 0.164 0.672
Tc2 Tc 0.836 0.836 0.328
Tc3 Tc 0.000 0.500 0.000
Tc4 Tc 0.500 0.000 0.000
# final energy = -0.56057 Ry per atom

***

(10)
# TcGeH, optimized geometry, DFT PBE
data_TcGeH
_symmetry_space_group_name_H-M 'P 1'
_symmetry_Int_Tables_number 1
_cell_length_a 4.809
_cell_length_b 5.075
_cell_length_c 6.378
_cell_angle_alpha 59.89
_cell_angle_beta 90.00
_cell_angle_gamma 90.00
loop_
_symmetry_equiv_pos_as_xyz
'x,y,z'
loop_
_atom_site_label
_atom_site_type_symbol
_atom_site_fract_x
_atom_site_fract_y
_atom_site_fract_z
H1 H 0.379 0.825 0.982
H2 H 0.621 0.175 0.018
H3 H 0.879 0.675 0.518
H4 H 0.121 0.325 0.482
Ge1 Ge 0.852 0.667 0.121
Ge2 Ge 0.648 0.167 0.621
Ge3 Ge 0.148 0.333 0.879
Ge4 Ge 0.352 0.833 0.379
Tc1 Tc 0.352 0.440 0.225
Tc2 Tc 0.648 0.560 0.775
Tc3 Tc 0.148 0.940 0.725
Tc4 Tc 0.852 0.060 0.275
# offset from the most stable computed form = 0 meV per atom

***

(11)
# ThTcGeH2, optimized geometry, DFT PBE
data_ThTcGeH2
_symmetry_space_group_name_H-M 'P 1'
_symmetry_Int_Tables_number 1
_cell_length_a 4.066
_cell_length_b 5.719
_cell_length_c 6.112
_cell_angle_alpha 90.00
_cell_angle_beta 90.00
_cell_angle_gamma 110.82
loop_
_symmetry_equiv_pos_as_xyz
'x,y,z'
loop_
_atom_site_label
_atom_site_type_symbol
_atom_site_fract_x
_atom_site_fract_y
_atom_site_fract_z
Th1 Th 0.697 0.395 0.750
Th2 Th 0.303 0.605 0.250
Tc1 Tc 0.000 0.000 0.000
Tc2 Tc 0.000 0.000 0.500
Ge1 Ge 0.417 0.834 0.750
Ge2 Ge 0.583 0.166 0.250
H1 H 0.164 0.328 0.939
H2 H 0.836 0.672 0.061
H3 H 0.164 0.328 0.561
H4 H 0.836 0.672 0.439
# final energy = -0.46678 Ry per atom

***

(12)
# Ti2TcGeH, optimized geometry, DFT PBE
data_Ti2TcGeH
_symmetry_space_group_name_H-M 'P 1'
_symmetry_Int_Tables_number 1
_cell_length_a 4.043
_cell_length_b 4.043
_cell_length_c 3.850
_cell_angle_alpha 90.00
_cell_angle_beta 90.00
_cell_angle_gamma 90.00
loop_
_symmetry_equiv_pos_as_xyz
'x,y,z'
loop_
_atom_site_label
_atom_site_type_symbol
_atom_site_fract_x
_atom_site_fract_y
_atom_site_fract_z
H1 H 0.000 0.000 0.000
Ge1 Ge 0.500 0.500 0.500
Tc1 Tc 0.000 0.000 0.500
Ti1 Ti 0.000 0.500 0.000
Ti2 Ti 0.500 0.000 0.000
# final energy = -0.53430 Ry per atom

***

(13)
# UTcGeH2, optimized geometry, DFT PBE
data_UTcGeH2
_symmetry_space_group_name_H-M 'P 1'
_symmetry_Int_Tables_number 1
_cell_length_a 3.953
_cell_length_b 5.584
_cell_length_c 5.872
_cell_angle_alpha 90.00
_cell_angle_beta 90.00
_cell_angle_gamma 110.73
loop_
_symmetry_equiv_pos_as_xyz
'x,y,z'
loop_
_atom_site_label
_atom_site_type_symbol
_atom_site_fract_x
_atom_site_fract_y
_atom_site_fract_z
U1 U 0.696 0.392 0.750
U2 U 0.304 0.608 0.250
Tc1 Tc 0.000 0.000 0.000
Tc2 Tc 0.000 0.000 0.500
Ge1 Ge 0.412 0.823 0.750
Ge2 Ge 0.588 0.177 0.250
H1 H 0.170 0.340 0.939
H2 H 0.830 0.660 0.061
H3 H 0.170 0.340 0.561
H4 H 0.830 0.660 0.439
# final energy = -0.50951 Ry per atom

***

(14)
# YTcGe2H, optimized geometry, DFT PBE
data_YTcGe2H
_symmetry_space_group_name_H-M 'P 1'
_symmetry_Int_Tables_number 1
_cell_length_a 5.512
_cell_length_b 5.153
_cell_length_c 5.512
_cell_angle_alpha 90.00
_cell_angle_beta 90.00
_cell_angle_gamma 90.00
loop_
_symmetry_equiv_pos_as_xyz
'x,y,z'
loop_
_atom_site_label
_atom_site_type_symbol
_atom_site_fract_x
_atom_site_fract_y
_atom_site_fract_z
Y1 Y 0.000 0.000 0.000
H1 H 0.500 0.500 0.500
Ge1 Ge 0.000 0.000 0.500
Ge2 Ge 0.500 0.000 0.000
Tc1 Tc 0.000 0.500 0.000
# final energy = -0.30024 Ry per atom

***

(15)
# GeTeH, optimized geometry, DFT PBE
data_GeTeH
_symmetry_space_group_name_H-M 'P 1'
_symmetry_Int_Tables_number 1
_cell_length_a 4.044
_cell_length_b 8.472
_cell_length_c 4.657
_cell_angle_alpha 90.17
_cell_angle_beta 89.82
_cell_angle_gamma 102.19
loop_
_symmetry_equiv_pos_as_xyz
'x,y,z'
loop_
_atom_site_label
_atom_site_type_symbol
_atom_site_fract_x
_atom_site_fract_y
_atom_site_fract_z
Ge1 Ge 0.889 0.107 0.568
Ge2 Ge 0.447 0.233 0.942
Te1 Te 0.014 0.388 0.255
Te2 Te 0.323 0.952 0.255
H1 H 0.707 0.648 0.702
H2 H 0.637 0.694 0.817
# offset from the most stable computed form = 1 meV per atom

***

(16)
# GeTe2H, optimized geometry, DFT PBE
data_GeTe2H
_symmetry_space_group_name_H-M 'P 1'
_symmetry_Int_Tables_number 1
_cell_length_a 7.534
_cell_length_b 7.534
_cell_length_c 7.534
_cell_angle_alpha 32.35
_cell_angle_beta 32.35
_cell_angle_gamma 32.35
loop_
_symmetry_equiv_pos_as_xyz
'x,y,z'
loop_
_atom_site_label
_atom_site_type_symbol
_atom_site_fract_x
_atom_site_fract_y
_atom_site_fract_z
H1 H 0.000 0.000 0.000
Ge1 Ge 0.500 0.500 0.500
Te1 Te 0.091 0.091 0.091
Te2 Te 0.909 0.909 0.909
# offset from the most stable computed form = 100 meV per atom

***

(17)
# GeTeH, optimized geometry, DFT PBE
data_GeTeH
_symmetry_space_group_name_H-M 'P 1'
_symmetry_Int_Tables_number 1
_cell_length_a 4.176
_cell_length_b 4.176
_cell_length_c 4.539
_cell_angle_alpha 117.39
_cell_angle_beta 117.39
_cell_angle_gamma 90.00
loop_
_symmetry_equiv_pos_as_xyz
'x,y,z'
loop_
_atom_site_label
_atom_site_type_symbol
_atom_site_fract_x
_atom_site_fract_y
_atom_site_fract_z
H1 H 0.969 0.969 0.937
Ge1 Ge 0.217 0.217 0.434
Te1 Te 0.664 0.664 0.329
# offset from the most stable computed form = 201 meV per atom

***

(18)
# GeTeH, optimized geometry, DFT PBE
data_GeTeH
_symmetry_space_group_name_H-M 'P 1'
_symmetry_Int_Tables_number 1
_cell_length_a 4.254
_cell_length_b 8.524
_cell_length_c 9.110
_cell_angle_alpha 79.52
_cell_angle_beta 90.00
_cell_angle_gamma 90.00
loop_
_symmetry_equiv_pos_as_xyz
'x,y,z'
loop_
_atom_site_label
_atom_site_type_symbol
_atom_site_fract_x
_atom_site_fract_y
_atom_site_fract_z
Ge1 Ge 0.750 0.402 0.368
Ge2 Ge 0.250 0.098 0.632
Ge3 Ge 0.250 0.598 0.632
Ge4 Ge 0.750 0.902 0.368
Te1 Te 0.750 0.341 0.672
Te2 Te 0.250 0.159 0.328
Te3 Te 0.250 0.659 0.328
Te4 Te 0.750 0.841 0.672
H1 H 0.539 0.983 0.969
H2 H 0.039 0.517 0.031
H3 H 0.461 0.017 0.031
H4 H 0.961 0.483 0.969
# offset from the most stable computed form = 0 meV per atom

***

(19)
# GeTe2H2, optimized geometry, DFT PBE
data_GeTe2H2
_symmetry_space_group_name_H-M 'P 1'
_symmetry_Int_Tables_number 1
_cell_length_a 4.198
_cell_length_b 4.198
_cell_length_c 14.634
_cell_angle_alpha 102.78
_cell_angle_beta 102.78
_cell_angle_gamma 57.18
loop_
_symmetry_equiv_pos_as_xyz
'x,y,z'
loop_
_atom_site_label
_atom_site_type_symbol
_atom_site_fract_x
_atom_site_fract_y
_atom_site_fract_z
Ge1 Ge 0.500 0.500 0.000
Ge2 Ge 0.750 0.250 0.500
Te1 Te 0.930 0.430 0.860
Te2 Te 0.680 0.680 0.360
Te3 Te 0.320 0.320 0.640
Te4 Te 0.570 0.070 0.140
H1 H 0.817 0.817 0.633
H2 H 0.067 0.567 0.133
H3 H 0.433 0.933 0.867
H4 H 0.183 0.183 0.367
# final energy = -0.23409 Ry per atom

***

(20)
# Ge2TeH2, optimized geometry, DFT PBE
data_Ge2TeH2
_symmetry_space_group_name_H-M 'P 1'
_symmetry_Int_Tables_number 1
_cell_length_a 3.907
_cell_length_b 3.907
_cell_length_c 5.398
_cell_angle_alpha 90.00
_cell_angle_beta 90.00
_cell_angle_gamma 90.00
loop_
_symmetry_equiv_pos_as_xyz
'x,y,z'
loop_
_atom_site_label
_atom_site_type_symbol
_atom_site_fract_x
_atom_site_fract_y
_atom_site_fract_z
H1 H 0.000 0.500 0.000
H2 H 0.500 0.000 0.000
Ge1 Ge 0.000 0.000 0.000
Ge2 Ge 0.000 0.000 0.500
Te1 Te 0.500 0.500 0.500
# final energy = -0.25738 Ry per atom